## La4Ga16Fe3 (PBE-GGA)

Data for an optimized crystal structure of La4Ga16Fe3.

Space group ... P4/mmm, No. 123
Formation energy from the elements ... -955 kJ/mol of formula units
D(E_F) ... 15.2 states/eV/f.u.

Unit cell a=6.2085 b=6.2085 c=11.5285 alpha=90.00 beta=90.00 gamma=90.00
Element x y z (fractional)
La 0.0000 0.5000 0.1957
La 0.0000 0.5000 0.8043
La 0.5000 0.0000 0.1957
La 0.5000 0.0000 0.8043
Ga 0.0000 0.0000 0.1967
Ga 0.0000 0.0000 0.8033
Ga 0.2178 0.2178 0.0000
Ga 0.2178 0.7822 0.0000
Ga 0.2539 0.2539 0.3894
Ga 0.2539 0.2539 0.6106
Ga 0.2539 0.7461 0.3894
Ga 0.2539 0.7461 0.6106
Ga 0.5000 0.5000 0.2182
Ga 0.5000 0.5000 0.7818
Ga 0.7461 0.2539 0.3894
Ga 0.7461 0.2539 0.6106
Ga 0.7461 0.7461 0.3894
Ga 0.7461 0.7461 0.6106
Ga 0.7822 0.2178 0.0000
Ga 0.7822 0.7822 0.0000
Fe 0.0000 0.5000 0.5000
Fe 0.5000 0.0000 0.5000
Fe 0.5000 0.5000 0.0000

***

## CePmEuDy (PBE-GGA)

Data for an optimized crystal structure of CePmEuDy.

Space group ... F-43m, No. 216
Formation energy from the elements ... 90 kJ/mol of formula units
D(E_F) ... 10.4 states/eV/f.u.

Unit cell a=5.7972 b=5.7972 c=5.7972 alpha=60.00 beta=60.00 gamma=60.00
Element x y z (fractional)
Ce 0.0000 0.0000 0.0000
Pm 0.2500 0.2500 0.2500
Eu 0.5000 0.5000 0.5000
Dy 0.7500 0.7500 0.7500

***

## Pu5PaS6 (PBE-GGA)

Data for an optimized crystal structure of Pu5PaS6.

Space group ... C2/m, No. 12
D(E_F) ... 42.2 states/eV/f.u.
E_form (uncorrected) ... -1.7173 eV/atom

Unit cell a=6.8256 b=6.8256 c=6.8358 alpha=99.58 beta=99.58 gamma=120.00
Element x y z (fractional)
Pu 0.0000 0.0000 0.0000
Pu 0.1666 0.8334 0.5000
Pu 0.3327 0.6673 0.0000
Pu 0.6673 0.3327 0.0000
Pu 0.8334 0.1666 0.5000
Pa 0.5000 0.5000 0.5000
S 0.0839 0.4168 0.2505
S 0.2506 0.2506 0.7504
S 0.4168 0.0839 0.2505
S 0.5832 0.9161 0.7495
S 0.7494 0.7494 0.2496
S 0.9161 0.5832 0.7495